No. 1
First-principles (GGA-PBE) data for an optimized crystal structure of MgMn2Cl, as listed in Alexandria.

a b c (Å): 3.031 3.031 7.805
angles (deg): 90.00 90.00 90.00
Element x y z (fractional)
Cl  0.500  0.500  0.250
Mg  0.500  0.500  0.750
Mn  0.000  0.000  0.007
Mn  0.000  0.000  0.493

Output
Fermi-level density of states in states/eV per cell: 3.81
E_form (uncorrected) in eV/atom: 0.24
Energy relative to the lowest polymorph listed for this composition in meV per atom: 359

=====

No. 2
First-principles (GGA-PBE) data for an optimized crystal structure of DyTmZr2, as listed in Alexandria.

a b c (Å): 3.363 5.886 11.268
angles (deg): 74.76 98.53 89.93
Element x y z (fractional)
Dy  0.000  0.500  0.500
Dy  0.500  0.000  0.500
Tm  0.132  0.700  0.763
Tm  0.868  0.300  0.237
Zr  0.752  0.764  0.005
Zr  0.248  0.236  0.995
Zr  0.632  0.196  0.763
Zr  0.368  0.804  0.237

Output
Fermi-level density of states in states/eV per cell: 10.40
Formation energy in eV per atom: 0.071
Energy relative to the lowest polymorph listed for this composition in meV per atom: 0

=====

No. 3
First-principles (GGA-PBE) data for an optimized crystal structure of ZrV2ReC, as listed in Alexandria.

a b c (Å): 4.095 4.188 4.095
angles (deg): 90.00 90.00 90.00
Element x y z (fractional)
Re  0.000  0.500  0.000
C  0.000  0.000  0.000
Zr  0.500  0.500  0.500
V  0.000  0.000  0.500
V  0.500  0.000  0.000

Output
Fermi-level density of states in states/eV per cell: 5.40
Formation energy in eV per atom: -0.127

=====

No. 4
First-principles (GGA-PBE) data for an optimized crystal structure of TaTe6Os, as listed in Alexandria.

a b c (Å): 6.788 6.851 7.364
angles (deg): 56.86 57.68 57.40
Element x y z (fractional)
Ta  0.500  0.500  0.500
Te  0.048  0.445  0.721
Te  0.718  0.071  0.806
Te  0.583  0.209  0.291
Te  0.282  0.929  0.194
Te  0.952  0.555  0.279
Te  0.417  0.791  0.709
Os  0.000  0.000  0.000

Output
Fermi-level density of states in states/eV per cell: 5.57
E_form (uncorrected) in eV/atom: 0.03

=====

No. 5
First-principles (GGA-PBE) data for an optimized crystal structure of Cs2AsPbBr6, as listed in Alexandria.

a b c (Å): 8.135 8.135 8.159
angles (deg): 60.10 60.10 90.00
Element x y z (fractional)
Pb  0.000  0.000  0.000
Cs  0.750  0.250  0.500
Cs  0.250  0.750  0.500
As  0.500  0.500  0.000
Br  0.260  0.260  0.479
Br  0.740  0.740  0.521
Br  0.261  0.261  0.000
Br  0.739  0.739  0.000
Br  0.739  0.261  0.000
Br  0.261  0.739  0.000

Output
Fermi-level density of states in states/eV per cell: 4.92
E_form (uncorrected) in eV/atom: -1.03

=====

No. 6
First-principles (GGA-PBE) data for an optimized crystal structure of Ce8C3NCl3, as listed in Alexandria.

a b c (Å): 7.261 7.261 8.242
angles (deg): 116.13 90.00 120.00
Element x y z (fractional)
Ce  0.267  0.535  0.302
Ce  0.733  0.465  0.698
Ce  0.769  0.538  0.305
Ce  0.231  0.462  0.695
Ce  0.769  0.036  0.305
Ce  0.231  0.964  0.695
Ce  0.267  0.036  0.305
Ce  0.733  0.964  0.695
C  0.500  0.000  0.500
C  0.500  0.500  0.500
C  0.000  0.500  0.500
N  0.000  0.000  0.500
Cl  0.000  0.000  0.000
Cl  0.000  0.500  0.000
Cl  0.500  0.500  0.000

Output
Fermi-level density of states in states/eV per cell: 26.69
E_form (uncorrected) in eV/atom: -0.94

=====

No. 7
First-principles (GGA-PBE) data for an optimized crystal structure of TaAgSe3, as listed in Alexandria.

a b c (Å): 4.917 4.917 4.917
angles (deg): 90.00 90.00 90.00
Element x y z (fractional)
Se  0.000  0.500  0.000
Se  0.000  0.000  0.500
Se  0.500  0.000  0.000
Ag  0.000  0.000  0.000
Ta  0.500  0.500  0.500

Output
Fermi-level density of states in states/eV per cell: 8.73
E_form (uncorrected) in eV/atom: 1.15

=====

No. 8
First-principles (GGA-PBE) data for an optimized crystal structure of LaPm3Sc2, as listed in Alexandria.

a b c (Å): 5.519 8.776 8.776
angles (deg): 111.13 90.00 90.00
Element x y z (fractional)
La  0.993  0.739  0.739
La  0.493  0.261  0.261
Pm  0.993  0.893  0.365
Pm  0.493  0.635  0.107
Pm  0.993  0.365  0.893
Pm  0.493  0.107  0.635
Pm  0.493  0.905  0.905
Pm  0.993  0.095  0.095
Sc  0.493  0.695  0.484
Sc  0.993  0.516  0.305
Sc  0.493  0.484  0.695
Sc  0.993  0.305  0.516

Output
Fermi-level density of states in states/eV per cell: 21.47
Formation energy in eV per atom: 0.260

=====

Electronic total energy / eV per atom: -5.21; -6.47; -9.82; -5.21; -3.04; -6.87; -3.88; -5.05